MgIrPb3 at its PBEsol-relaxed geometry, computed with meta-GGA SCAN.

The density of states at the Fermi level comes out at 4.848 states/eV per cell. The calculation puts the energy of formation at 1247 meV per atom. The calculation puts the volume at 141 Å³/f.u.

a b c (Å): 5.2005 5.2005 5.2005
angles (deg): 90.00 90.00 90.00
With the nearest neighbours (Å) after each atom.
Space group Pm-3m (No. 221)
Asymmetric unit:
Mg: 0.0000 0.0000 0.0000 (multiplicity 1)  6 Pb 2.60
Ir: 0.5000 0.5000 0.5000 (multiplicity 1)  12 Pb 3.68
Pb: 0.0000 0.0000 0.5000 (multiplicity 3)  2 Mg 2.60

MoHN2 at its PBEsol-relaxed geometry, computed with meta-GGA SCAN.

The density of states at the Fermi level comes out at 5.292 states/eV per cell. The calculation puts the volume at 38 Å³/f.u.

a b c (Å): 4.2379 4.2379 8.5687
angles (deg): 90.00 90.00 90.00
With the nearest neighbours (Å) after each atom.
Space group I-42d (No. 122)
Asymmetric unit:
Mo: 0.0000 0.0000 0.0000 (multiplicity 4)  4 N 1.90
H: 0.0000 0.0000 0.5000 (multiplicity 4)  4 N 1.79
N: 0.2284 0.2500 0.6250 (multiplicity 8)  2 H 1.79, 2 Mo 1.90

YZnCl2 at its PBEsol-relaxed geometry, computed with meta-GGA SCAN.

Its uncorrected formation energy is -1075 meV per atom. The density of states at the Fermi level comes out at 2.041 states/eV per cell. The calculation puts the volume at 81 Å³/f.u. The energy relative to the lowest polymorph listed for this composition is 0.0 meV per atom.

a b c (Å): 3.6678 4.2452 5.1839
angles (deg): 90.00 90.00 90.00
With the nearest neighbours (Å) after each atom.
Space group Pmmm (No. 47)
Asymmetric unit:
Y: 0.0000 0.0000 0.0000 (multiplicity 1)  4 Cl 2.81
Zn: 0.5000 0.0000 0.5000 (multiplicity 1)  4 Cl 2.81
Cl: 0.0000 0.5000 0.5000 (multiplicity 1)  4 Zn 2.81
Cl: 0.5000 0.5000 0.0000 (multiplicity 1)  4 Y 2.81

IrNClF2 at its PBEsol-relaxed geometry, computed with meta-GGA SCAN.

Its uncorrected formation energy is -107 meV per atom. The density of states at the Fermi level comes out at 3.106 states/eV per cell. The calculation puts the volume at 63 Å³/f.u.

a b c (Å): 4.1014 4.1014 3.7511
angles (deg): 90.00 90.00 90.00
With the nearest neighbours (Å) after each atom.
Space group P4/mmm (No. 123)
Asymmetric unit:
Ir: 0.0000 0.0000 0.0000 (multiplicity 1)  2 N 1.88, 4 F 2.05
N: 0.0000 0.0000 0.5000 (multiplicity 1)  2 Ir 1.88
Cl: 0.5000 0.5000 0.5000 (multiplicity 1)  8 F 2.78, 4 N 2.90
F: 0.0000 0.5000 0.0000 (multiplicity 2)  2 Ir 2.05

Cr2HgOs at its PBEsol-relaxed geometry, computed with meta-GGA SCAN.

The density of states at the Fermi level comes out at 5.561 states/eV per cell. The calculation puts the energy of formation at 570 meV per atom. The calculation puts the volume at 57 Å³/f.u.

a b c (Å): 2.9068 4.5020 8.7676
angles (deg): 90.00 90.00 90.00
With the nearest neighbours (Å) after each atom.
Space group Cmm2 (No. 35)
Asymmetric unit:
Cr: 0.0000 0.0000 0.0000 (multiplicity 2)  2 Cr 2.25, 2 Os 2.50
Cr: 0.0000 0.5000 0.1952 (multiplicity 2)  2 Cr 2.25
Hg: 0.0000 0.0000 0.4717 (multiplicity 2)  6 Hg 2.68-2.91, 2 Cr 2.83, 2 Os 2.98
Os: 0.0000 0.5000 0.7679 (multiplicity 2)  2 Cr 2.50, 4 Os 2.68

ZrNiP2 at its PBEsol-relaxed geometry, computed with meta-GGA SCAN.

The density of states at the Fermi level comes out at 1.727 states/eV per cell. The calculation puts the energy of formation at -631 meV per atom. The calculation puts the volume at 64 Å³/f.u.

a b c (Å): 3.3587 3.9865 5.0639
angles (deg): 90.00 109.04 90.00
With the nearest neighbours (Å) after each atom.
Space group Pm (No. 6)
Asymmetric unit:
Zr: 0.0000 0.0000 0.0000 (multiplicity 1)  7 P 2.65-2.72
Ni: 0.6524 0.5000 0.3137 (multiplicity 1)  3 P 2.09-2.19
P: 0.4297 0.5000 0.8556 (multiplicity 1)  1 Ni 2.19
P: 0.7218 0.0000 0.4460 (multiplicity 1)  2 Ni 2.09

Number 1: DFT total energy -59.436 eV/atom. Number 2: DFT total energy -13.762 eV/atom. Number 3: DFT total energy -15.403 eV/atom. Number 4: DFT total energy -19.196 eV/atom. Number 5: DFT total energy -43.633 eV/atom. Number 6: DFT total energy -17.548 eV/atom.